Record 1
! DyScSn2 PBE optimized geometry; values from VASP
&SYSTEM
  ibrav = 0, nat = 4, ntyp = 3
/
ATOMIC_SPECIES
Sc 44.96 Sc.upf
Sn 118.71 Sn.upf
Dy 162.50 Dy.upf
CELL_PARAMETERS angstrom
-2.698 1.536 -0.990
0.395 4.117 5.311
3.251 5.888 0.277
ATOMIC_POSITIONS angstrom
Sc -0.047 4.343 1.502
Sn 1.885 9.644 4.462
Sn -0.902 1.995 0.190
Dy 0.959 7.102 3.042
! Symmetry: Amm2, No. 38
! Volume (Å³/atom): 29.7
! Total DFT energy (no corrections) (eV per atom): -4.61

=====

Record 2
! DyScZn2Sn2 PBE optimized geometry; values from VASP
&SYSTEM
  ibrav = 0, nat = 12, ntyp = 4
/
ATOMIC_SPECIES
Dy 162.50 Dy.upf
Sc 44.96 Sc.upf
Zn 65.41 Zn.upf
Sn 118.71 Sn.upf
CELL_PARAMETERS angstrom
4.491 0.000 0.000
-2.245 3.889 0.000
0.000 0.000 15.007
ATOMIC_POSITIONS angstrom
Dy 0.000 0.000 3.752
Sc 0.000 0.000 0.000
Zn 2.245 1.296 2.336
Sn 2.245 1.296 13.419
Sn 0.000 2.593 1.589
Sc 0.000 0.000 7.504
Dy 0.000 0.000 11.256
Sn 0.000 2.593 5.915
Zn 0.000 2.593 12.671
Zn 2.245 1.296 5.168
Sn 2.245 1.296 9.093
Zn 0.000 2.593 9.840
! Symmetry: P6_3/mmc, No. 194
! Volume (Å³/atom): 21.8
! Distance to the lowest polymorph of the same formula (meV/atom): 13.1

=====

Record 3
! DyScZn2Sn2 PBE optimized geometry; values from VASP
&SYSTEM
  ibrav = 0, nat = 12, ntyp = 4
/
ATOMIC_SPECIES
Zn 65.41 Zn.upf
Dy 162.50 Dy.upf
Sn 118.71 Sn.upf
Sc 44.96 Sc.upf
CELL_PARAMETERS angstrom
4.453 0.000 0.000
-2.226 3.856 0.000
0.000 0.000 15.312
ATOMIC_POSITIONS angstrom
Zn 2.226 1.285 2.507
Dy 0.000 0.000 7.656
Sn 2.226 1.285 9.442
Sn 0.000 2.571 5.869
Zn 0.000 2.571 12.805
Zn 0.000 2.571 10.163
Sc 0.000 0.000 3.828
Sn 0.000 2.571 1.786
Sc 0.000 0.000 11.484
Sn 2.226 1.285 13.525
Dy 0.000 0.000 0.000
Zn 2.226 1.285 5.149
! Symmetry: P6_3/mmc, No. 194
! Volume (Å³/atom): 21.9
! Distance to the lowest polymorph of the same formula (meV/atom): 0.0

=====

Record 4
! DyScTa PBE optimized geometry; values from VASP
&SYSTEM
  ibrav = 0, nat = 3, ntyp = 3
/
ATOMIC_SPECIES
Sc 44.96 Sc.upf
Dy 162.50 Dy.upf
Ta 180.95 Ta.upf
CELL_PARAMETERS angstrom
-3.664 -0.734 3.070
-1.287 3.478 3.104
-4.176 2.361 -0.610
ATOMIC_POSITIONS angstrom
Sc 0.000 0.000 0.000
Dy -2.282 1.276 1.391
Ta -6.845 3.829 4.173
! Symmetry: F-43m, No. 216
! Volume (Å³/atom): 26.7
! ΔH_f (0 K) (eV/atom): 1.174

=====

Record 5
! DyScTe PBE optimized geometry; values from VASP
&SYSTEM
  ibrav = 0, nat = 3, ntyp = 3
/
ATOMIC_SPECIES
Sc 44.96 Sc.upf
Dy 162.50 Dy.upf
Te 127.60 Te.upf
CELL_PARAMETERS angstrom
0.000 3.470 3.470
3.470 0.000 3.470
3.470 3.470 0.000
ATOMIC_POSITIONS angstrom
Sc 5.205 5.205 5.205
Dy 1.735 1.735 1.735
Te 0.000 0.000 0.000
! Symmetry: F-43m, No. 216
! Volume (Å³/atom): 27.9
! Distance to the lowest polymorph of the same formula (meV/atom): 0.0

=====

Record 6
! DyScTe PBE optimized geometry; values from VASP
&SYSTEM
  ibrav = 0, nat = 3, ntyp = 3
/
ATOMIC_SPECIES
Te 127.60 Te.upf
Dy 162.50 Dy.upf
Sc 44.96 Sc.upf
CELL_PARAMETERS angstrom
-3.248 -2.327 3.137
0.162 0.952 4.987
-3.737 2.642 2.204
ATOMIC_POSITIONS angstrom
Te -5.116 0.951 7.746
Dy 0.000 0.000 0.000
Sc -1.705 0.317 2.582
! Symmetry: F-43m, No. 216
! Volume (Å³/atom): 30.9
! Distance to the lowest polymorph of the same formula (meV/atom): 589.6

=====

Record 7
! DyScU PBE optimized geometry; values from VASP
&SYSTEM
  ibrav = 0, nat = 3, ntyp = 3
/
ATOMIC_SPECIES
Dy 162.50 Dy.upf
U 238.03 U.upf
Sc 44.96 Sc.upf
CELL_PARAMETERS angstrom
3.820 -2.274 2.284
2.736 2.484 3.365
-0.328 -1.176 4.847
ATOMIC_POSITIONS angstrom
Dy 1.557 -0.242 2.624
U 4.671 -0.725 7.872
Sc 0.000 0.000 0.000
! Symmetry: F-43m, No. 216
! Volume (Å³/atom): 29.4
! Distance to the lowest polymorph of the same formula (meV/atom): 0.0
! ΔH_f (0 K) (eV/atom): 1.202

=====

Record 8
! DyZrSc6 PBE optimized geometry; values from VASP
&SYSTEM
  ibrav = 0, nat = 8, ntyp = 3
/
ATOMIC_SPECIES
Sc 44.96 Sc.upf
Dy 162.50 Dy.upf
Zr 91.22 Zr.upf
CELL_PARAMETERS angstrom
-3.341 -1.990 3.421
4.801 -0.169 4.590
0.971 5.225 3.987
ATOMIC_POSITIONS angstrom
Sc 3.604 3.626 9.550
Dy 0.484 0.424 0.719
Sc 3.124 1.064 7.590
Sc 1.249 3.704 7.295
Zr 0.732 1.110 5.281
Sc 2.876 0.363 3.020
Sc 0.988 3.022 2.723
Sc 3.345 2.930 4.971
! Symmetry: Amm2, No. 38
! Volume (Å³/atom): 24.7
! ΔH_f (0 K) (eV/atom): 0.015

=====

Record 9
! DySe PBE optimized geometry; values from VASP
&SYSTEM
  ibrav = 0, nat = 2, ntyp = 2
/
ATOMIC_SPECIES
Se 78.96 Se.upf
Dy 162.50 Dy.upf
CELL_PARAMETERS angstrom
-3.937 -1.925 1.047
-3.492 2.554 1.261
-3.544 0.483 -2.741
ATOMIC_POSITIONS angstrom
Se -2.743 0.278 -0.108
Dy 0.000 0.000 0.000
! Symmetry: F-43m, No. 216
! Volume (Å³/atom): 32.3
! Total DFT energy (no corrections) (eV per atom): -5.37

=====

Record 10
! DySe PBE optimized geometry; values from VASP
&SYSTEM
  ibrav = 0, nat = 8, ntyp = 2
/
ATOMIC_SPECIES
Dy 162.50 Dy.upf
Se 78.96 Se.upf
CELL_PARAMETERS angstrom
11.486 0.000 0.000
0.000 4.052 0.000
0.000 0.000 4.080
ATOMIC_POSITIONS angstrom
Dy 10.047 3.039 0.998
Se 7.176 3.039 0.998
Se 4.310 1.013 3.082
Se 1.433 3.039 1.042
Dy 1.439 1.013 3.081
Dy 4.304 3.039 1.042
Dy 7.182 1.013 3.038
Se 10.053 1.013 3.037
! Symmetry: Pnma, No. 62
! Volume (Å³/atom): 23.7
! Total DFT energy (no corrections) (eV per atom): -5.79

=====

Record 11
! Dy2Se PBE optimized geometry; values from VASP
&SYSTEM
  ibrav = 0, nat = 6, ntyp = 2
/
ATOMIC_SPECIES
Se 78.96 Se.upf
Dy 162.50 Dy.upf
CELL_PARAMETERS angstrom
1.429 3.485 4.882
-3.314 5.044 1.263
-3.721 0.093 4.916
ATOMIC_POSITIONS angstrom
Se -1.402 2.155 2.765
Dy -1.847 2.867 6.282
Dy -1.643 5.342 4.456
Se 0.000 0.000 0.000
Dy -4.218 3.646 4.473
Dy -3.504 5.389 6.914
! Symmetry: Fd-3m, No. 227
! Volume (Å³/atom): 27.6
! Total DFT energy (no corrections) (eV per atom): -4.24

=====

Record 12
! Dy2Se PBE optimized geometry; values from VASP
&SYSTEM
  ibrav = 0, nat = 6, ntyp = 2
/
ATOMIC_SPECIES
Dy 162.50 Dy.upf
Se 78.96 Se.upf
CELL_PARAMETERS angstrom
-3.814 -1.724 7.809
-8.715 1.211 1.036
-5.373 -6.992 0.858
ATOMIC_POSITIONS angstrom
Dy -12.978 -3.071 8.061
Dy -15.665 -6.567 8.490
Dy -13.758 -5.705 4.586
Se 0.000 0.000 0.000
Dy -11.307 -7.172 7.972
Se -13.427 -5.629 7.277
! Symmetry: Fd-3m, No. 227
! Volume (Å³/atom): 82.0
! Total DFT energy (no corrections) (eV per atom): -3.58

=====

Record 13
! DySe PBE optimized geometry; values from VASP
&SYSTEM
  ibrav = 0, nat = 2, ntyp = 2
/
ATOMIC_SPECIES
Dy 162.50 Dy.upf
Se 78.96 Se.upf
CELL_PARAMETERS angstrom
0.000 2.875 2.875
2.875 0.000 2.875
2.875 2.875 0.000
ATOMIC_POSITIONS angstrom
Dy 0.000 0.000 0.000
Se 2.875 2.875 2.875
! Symmetry: Fm-3m, No. 225
! Volume (Å³/atom): 23.8
! Total DFT energy (no corrections) (eV per atom): -5.79

=====

Record 14
! Dy2Se3 PBE optimized geometry; values from VASP
&SYSTEM
  ibrav = 0, nat = 20, ntyp = 2
/
ATOMIC_SPECIES
Dy 162.50 Dy.upf
Se 78.96 Se.upf
CELL_PARAMETERS angstrom
-3.005 -2.279 -10.467
-0.291 -3.901 0.933
-10.517 1.432 2.708
ATOMIC_POSITIONS angstrom
Dy -6.326 -2.778 -9.254
Se -4.404 -4.922 -8.950
Dy -6.280 -0.954 -1.615
Se -2.824 -1.209 -1.603
Se -5.524 -3.425 -3.042
Se -8.563 -2.189 -7.487
Se -5.444 -2.197 -6.549
Dy -7.534 -3.794 -5.211
Se -11.153 -0.492 -1.200
Se -5.250 -2.560 0.661
Se -10.990 -3.539 -5.223
Se -2.661 -4.256 -5.626
Dy -12.987 -1.385 -5.509
Dy -3.509 -1.817 -4.359
Dy -7.487 -1.970 2.428
Dy -0.826 -3.363 -1.317
Dy -10.304 -2.931 -2.467
Se -9.409 0.173 2.124
Se -8.289 -1.323 -3.784
Se -8.370 -2.551 -0.277
! Symmetry: Pnma, No. 62
! Volume (Å³/atom): 24.5
! Total DFT energy (no corrections) (eV per atom): -5.80

=====

Record 15
! DySe PBE optimized geometry; values from VASP
&SYSTEM
  ibrav = 0, nat = 6, ntyp = 2
/
ATOMIC_SPECIES
Dy 162.50 Dy.upf
Se 78.96 Se.upf
CELL_PARAMETERS angstrom
-2.979 0.692 2.671
0.937 -3.808 -1.055
6.595 -0.447 7.474
ATOMIC_POSITIONS angstrom
Dy 3.824 -1.181 7.659
Dy 3.298 -0.224 3.737
Se 4.036 -2.606 5.178
Dy 0.729 -2.382 1.431
Se 0.000 0.000 0.000
Se 0.517 -0.956 3.911
! Symmetry: P-3m1, No. 164
! Volume (Å³/atom): 23.7
! Total DFT energy (no corrections) (eV per atom): -5.79

=====

Record 16
! Dy2Se3 PBE optimized geometry; values from VASP
&SYSTEM
  ibrav = 0, nat = 20, ntyp = 2
/
ATOMIC_SPECIES
Se 78.96 Se.upf
Dy 162.50 Dy.upf
CELL_PARAMETERS angstrom
0.000 5.756 12.238
4.117 0.000 12.238
4.117 5.756 0.000
ATOMIC_POSITIONS angstrom
Se 8.169 8.635 18.357
Se 6.106 5.783 16.374
Se 4.181 8.635 18.357
Se 4.048 8.608 10.255
Dy 6.175 8.635 20.414
Se 4.048 2.905 14.221
Se 2.123 5.756 12.238
Dy 2.058 2.878 12.162
Se 6.110 5.756 12.238
Se 2.127 5.730 16.374
Dy 2.058 2.878 0.076
Dy 4.117 5.756 10.180
Dy 4.117 5.756 14.295
Dy 4.117 5.756 18.433
Se 6.106 5.730 8.102
Se 2.127 5.783 8.102
Se 4.185 2.905 10.255
Se 4.185 8.608 14.221
Dy 6.175 8.635 16.299
Dy 4.117 5.756 6.043
! Symmetry: Fddd, No. 70
! Volume (Å³/atom): 29.0
! Total DFT energy (no corrections) (eV per atom): -5.82

=====

Record 17
! Sm5DySe6 PBE optimized geometry; values from VASP
&SYSTEM
  ibrav = 0, nat = 12, ntyp = 3
/
ATOMIC_SPECIES
Se 78.96 Se.upf
Sm 150.36 Sm.upf
Dy 162.50 Dy.upf
CELL_PARAMETERS angstrom
-1.387 -0.064 -7.066
-5.144 -1.798 4.708
0.226 7.083 1.115
ATOMIC_POSITIONS angstrom
Se -5.371 3.653 0.987
Se -4.878 0.356 -1.504
Sm -3.153 2.610 -0.621
Se -0.935 1.568 -2.230
Se -4.142 4.220 -2.863
Sm -2.637 -0.641 -3.150
Se -1.428 4.865 0.261
Se -2.163 1.001 1.620
Dy 0.000 0.000 0.000
Sm -1.916 3.182 -4.499
Sm -3.895 -1.221 0.792
Sm -4.390 2.039 3.256
! Symmetry: C2/m, No. 12
! Volume (Å³/atom): 25.3
! Total DFT energy (no corrections) (eV per atom): -5.90

=====

Record 18
! Sm2DySe3 PBE optimized geometry; values from VASP
&SYSTEM
  ibrav = 0, nat = 6, ntyp = 3
/
ATOMIC_SPECIES
Sm 150.36 Sm.upf
Se 78.96 Se.upf
Dy 162.50 Dy.upf
CELL_PARAMETERS angstrom
4.124 0.000 0.000
-2.062 3.571 0.000
0.000 0.000 10.161
ATOMIC_POSITIONS angstrom
Sm 0.000 2.381 6.793
Se 2.062 1.190 8.542
Se 0.000 0.000 5.080
Dy 0.000 0.000 0.000
Se 0.000 2.381 1.618
Sm 2.062 1.190 3.368
! Symmetry: P-3m1, No. 164
! Volume (Å³/atom): 24.9
! Total DFT energy (no corrections) (eV per atom): -5.88

=====

Record 19
! DySnSe2 PBE optimized geometry; values from VASP
&SYSTEM
  ibrav = 0, nat = 8, ntyp = 3
/
ATOMIC_SPECIES
Se 78.96 Se.upf
Sn 118.71 Sn.upf
Dy 162.50 Dy.upf
CELL_PARAMETERS angstrom
-4.599 -0.546 -11.763
1.214 -1.279 12.518
-1.845 3.649 0.552
ATOMIC_POSITIONS angstrom
Se -3.869 0.216 -6.649
Se -5.479 2.127 -9.243
Se -1.362 1.608 7.956
Se 0.248 -0.303 10.550
Sn -1.842 -0.040 1.817
Dy -2.052 1.695 5.071
Sn -3.388 1.863 -0.510
Dy -3.178 0.129 -3.764
! Symmetry: Cmcm, No. 63
! Volume (Å³/atom): 25.3
! Total DFT energy (no corrections) (eV per atom): -5.09

=====

Record 20
! Dy2SnSe4 PBE optimized geometry; values from VASP
&SYSTEM
  ibrav = 0, nat = 7, ntyp = 3
/
ATOMIC_SPECIES
Se 78.96 Se.upf
Dy 162.50 Dy.upf
Sn 118.71 Sn.upf
CELL_PARAMETERS angstrom
-3.251 3.251 6.275
3.251 -3.251 6.275
3.251 3.251 -6.275
ATOMIC_POSITIONS angstrom
Se 1.695 1.710 -1.642
Se 4.792 1.695 1.642
Dy 0.000 0.000 6.275
Dy 3.251 0.000 3.138
Se -1.541 1.556 7.917
Se 1.556 1.541 4.633
Sn 0.000 0.000 0.000
! Symmetry: I-4, No. 82
! Volume (Å³/atom): 37.9
! Total DFT energy (no corrections) (eV per atom): -5.04

=====

Record 21
! DySnSe2 PBE optimized geometry; values from VASP
&SYSTEM
  ibrav = 0, nat = 4, ntyp = 3
/
ATOMIC_SPECIES
Sn 118.71 Sn.upf
Dy 162.50 Dy.upf
Se 78.96 Se.upf
CELL_PARAMETERS angstrom
4.182 0.000 0.000
0.000 4.182 0.000
0.000 0.000 5.940
ATOMIC_POSITIONS angstrom
Sn 2.091 2.091 2.970
Dy 0.000 0.000 0.000
Se 0.000 0.000 2.970
Se 2.091 2.091 0.000
! Symmetry: P4/mmm, No. 123
! Volume (Å³/atom): 26.0
! Total DFT energy (no corrections) (eV per atom): -4.92

=====

Record 22
! DySn2Se PBE optimized geometry; values from VASP
&SYSTEM
  ibrav = 0, nat = 8, ntyp = 3
/
ATOMIC_SPECIES
Se 78.96 Se.upf
Sn 118.71 Sn.upf
Dy 162.50 Dy.upf
CELL_PARAMETERS angstrom
2.011 -12.638 0.000
2.011 12.638 0.000
0.000 0.000 4.171
ATOMIC_POSITIONS angstrom
Se 2.011 -5.085 1.043
Sn 2.011 11.463 1.043
Sn 2.011 -2.071 3.128
Dy 2.011 7.990 3.128
Se 2.011 5.085 3.128
Sn 2.011 -11.463 3.128
Dy 2.011 -7.990 1.043
Sn 2.011 2.071 1.043
! Symmetry: Cmcm, No. 63
! Volume (Å³/atom): 26.5
! Total DFT energy (no corrections) (eV per atom): -4.83

=====

Record 23
! DySn2Se3 PBE optimized geometry; values from VASP
&SYSTEM
  ibrav = 0, nat = 6, ntyp = 3
/
ATOMIC_SPECIES
Sn 118.71 Sn.upf
Se 78.96 Se.upf
Dy 162.50 Dy.upf
CELL_PARAMETERS angstrom
-0.330 3.891 -1.120
-0.517 -2.953 -2.741
-11.394 -0.265 2.433
ATOMIC_POSITIONS angstrom
Sn -4.254 1.520 -0.835
Sn -7.986 -0.847 -0.592
Se -2.054 -0.709 -1.859
Se -10.187 1.382 0.432
Se -5.697 -0.132 1.217
Dy 0.000 0.000 0.000
! Symmetry: P-3m1, No. 164
! Volume (Å³/atom): 27.8
! Total DFT energy (no corrections) (eV per atom): -4.72

=====

Record 24
! Dy2SnSe3 PBE optimized geometry; values from VASP
&SYSTEM
  ibrav = 0, nat = 6, ntyp = 3
/
ATOMIC_SPECIES
Dy 162.50 Dy.upf
Se 78.96 Se.upf
Sn 118.71 Sn.upf
CELL_PARAMETERS angstrom
3.987 0.000 0.000
-1.994 3.453 0.000
0.000 0.000 11.858
ATOMIC_POSITIONS angstrom
Dy 0.000 2.302 1.757
Se 1.994 1.151 3.377
Dy 1.994 1.151 10.101
Se 0.000 0.000 0.000
Sn 0.000 0.000 5.929
Se 0.000 2.302 8.481
! Symmetry: P-3m1, No. 164
! Volume (Å³/atom): 27.2
! Total DFT energy (no corrections) (eV per atom): -5.24

=====

Record 25
! DySnTeSe PBE optimized geometry; values from VASP
&SYSTEM
  ibrav = 0, nat = 8, ntyp = 4
/
ATOMIC_SPECIES
Sn 118.71 Sn.upf
Se 78.96 Se.upf
Dy 162.50 Dy.upf
Te 127.60 Te.upf
CELL_PARAMETERS angstrom
2.078 -13.316 0.000
2.078 13.316 0.000
0.000 0.000 4.283
ATOMIC_POSITIONS angstrom
Sn 2.078 -6.008 3.212
Se 2.078 -2.128 1.071
Dy 2.078 -9.174 3.212
Te 2.078 -11.370 1.071
Sn 2.078 6.008 1.071
Dy 2.078 9.174 1.071
Te 2.078 11.370 3.212
Se 2.078 2.128 3.212
! Symmetry: Cmcm, No. 63
! Volume (Å³/atom): 29.6
! Total DFT energy (no corrections) (eV per atom): -4.41